Material: NdYHoAl
Method: DFT, PBE-GGA
State: relaxed

Calculated values
energy of formation from the pure elements = -0.202 eV/atom
space-group type = P4mm, No. 99
total magnetization = 0.0 μB/f.u.
N(E_F) = 3.3 states/eV per cell
final energy = -5.090 eV/atom

a b c (Å): 3.5415 3.5415 9.0954
angles (deg): 90.00 90.00 90.00
With the nearest neighbours (Å) after each atom.
Fractional coordinates of all 4 atoms:
Nd 0.0000 0.0000 0.0000  4 Nd 3.54, 4 Ho 3.63, 4 Y 3.67
Y 0.5000 0.5000 0.7053  4 Al 3.15
Ho 0.5000 0.5000 0.2883  4 Al 3.13
Al 0.0000 0.0000 0.4956  4 Ho 3.13, 4 Y 3.15